The following is a PBE calculation of Zr4TaSb after structural relaxation, from the Alexandria database.

It has space group F-43m (No. 216), with a = 8.1119 Å, b = 8.1119 Å, c = 8.1119 Å, α = 90.00°, β = 90.00° and γ = 90.00°. Symmetry generates all atoms from Zr at (0.1228, 0.1228, 0.3772), Ta at (0.2500, 0.2500, 0.7500) and Sb at (0.0000, 0.0000, 0.0000).

The value obtained for the total energy is -8.02 eV/atom. Its formation energy without anion corrections is 0.337 eV per atom.